Material: Cs3CaMn2Br9
Method: DFT, GGA-PBE
State: relaxed

Lattice parameters (Å, degrees): 7.841 7.841 9.613 90.00 90.00 120.00
Sites, in units of the cell vectors:
1 Cs 0.000 0.000 0.000
2 Cs 0.333 0.667 0.671
3 Cs 0.667 0.333 0.329
4 Ca 0.000 0.000 0.500
5 Mn 0.333 0.667 0.161
6 Mn 0.667 0.333 0.839
7 Br 0.000 0.500 0.000
8 Br 0.173 0.345 0.325
9 Br 0.173 0.827 0.325
10 Br 0.345 0.173 0.675
11 Br 0.500 0.000 0.000
12 Br 0.500 0.500 0.000
13 Br 0.655 0.827 0.325
14 Br 0.827 0.173 0.675
15 Br 0.827 0.655 0.675

Values from the calculation:
The value obtained for the uncorrected formation energy is -1.45 eV per atom.


Material: Ta3Te2Se4
Method: DFT, GGA-PBE
State: relaxed

Lattice parameters (Å, degrees): 3.529 3.529 21.967 90.00 90.00 120.00
Sites, in units of the cell vectors:
1 Ta 0.000 0.000 0.000
2 Ta 0.333 0.667 0.328
3 Ta 0.333 0.667 0.672
4 Te 0.333 0.667 0.087
5 Te 0.333 0.667 0.913
6 Se 0.000 0.000 0.253
7 Se 0.000 0.000 0.404
8 Se 0.000 0.000 0.596
9 Se 0.000 0.000 0.747

Values from the calculation:
The value obtained for the uncorrected formation energy is -0.63 eV per atom.


Material: Ti2Mn2Os
Method: DFT, GGA-PBE
State: relaxed

Lattice parameters (Å, degrees): 7.994 7.994 7.994 157.81 157.81 31.58
Sites, in units of the cell vectors:
1 Ti 0.102 0.102 0.000
2 Ti 0.898 0.898 0.000
3 Mn 0.250 0.750 0.500
4 Mn 0.750 0.250 0.500
5 Os 0.500 0.500 0.000

Values from the calculation:
For the calculated formation energy, the calculation gives 0.04 eV/atom. The calculation puts the offset from the most stable computed form at 0.058 eV/atom.


Material: NaAlAsSe2
Method: DFT, GGA-PBE
State: relaxed

Lattice parameters (Å, degrees): 5.175 5.175 5.018 90.00 90.00 90.00
Sites, in units of the cell vectors:
1 Na 0.000 0.000 0.000
2 Al 0.500 0.500 0.500
3 As 0.000 0.000 0.500
4 Se 0.000 0.500 0.000
5 Se 0.500 0.000 0.000

Values from the calculation:
The value obtained for the uncorrected formation energy is 0.78 eV per atom. The calculation puts the offset from the most stable computed form at 0.945 eV/atom.


Material: Pm6Cu5Ir
Method: DFT, GGA-PBE
State: relaxed

Lattice parameters (Å, degrees): 5.024 7.134 7.957 90.00 108.21 90.00
Sites, in units of the cell vectors:
1 Pm 0.000 0.243 0.000
2 Pm 0.000 0.757 0.000
3 Pm 0.339 0.248 0.674
4 Pm 0.339 0.752 0.674
5 Pm 0.661 0.248 0.326
6 Pm 0.661 0.752 0.326
7 Cu 0.160 0.500 0.327
8 Cu 0.171 0.000 0.354
9 Cu 0.500 0.500 0.000
10 Cu 0.829 0.000 0.646
11 Cu 0.840 0.500 0.673
12 Ir 0.500 0.000 0.000

Values from the calculation:
For the calculated formation energy, the calculation gives -0.27 eV/atom.


Material: Dy3NiAu2
Method: DFT, GGA-PBE
State: relaxed

Lattice parameters (Å, degrees): 11.755 4.456 10.625 90.00 90.00 90.00
Sites, in units of the cell vectors:
1 Dy 0.051 0.250 0.124
2 Dy 0.111 0.750 0.561
3 Dy 0.237 0.250 0.793
4 Dy 0.263 0.750 0.293
5 Dy 0.389 0.250 0.061
6 Dy 0.449 0.750 0.624
7 Dy 0.551 0.250 0.376
8 Dy 0.611 0.750 0.939
9 Dy 0.737 0.250 0.707
10 Dy 0.763 0.750 0.207
11 Dy 0.889 0.250 0.439
12 Dy 0.949 0.750 0.876
13 Ni 0.125 0.250 0.372
14 Ni 0.375 0.750 0.872
15 Ni 0.625 0.250 0.128
16 Ni 0.875 0.750 0.628
17 Au 0.003 0.750 0.303
18 Au 0.191 0.750 0.006
19 Au 0.309 0.250 0.506
20 Au 0.497 0.250 0.803
21 Au 0.503 0.750 0.197
22 Au 0.691 0.750 0.494
23 Au 0.809 0.250 0.994
24 Au 0.997 0.250 0.697

Values from the calculation:
For the calculated formation energy, the calculation gives -0.68 eV/atom.


Material: AgPtCl2
Method: DFT, GGA-PBE
State: relaxed

Lattice parameters (Å, degrees): 8.429 8.429 8.429 23.77 23.77 23.77
Sites, in units of the cell vectors:
1 Ag 0.000 0.000 0.000
2 Pt 0.500 0.500 0.500
3 Cl 0.407 0.407 0.407
4 Cl 0.593 0.593 0.593

Values from the calculation:
The value obtained for the uncorrected formation energy is 0.03 eV per atom. The calculation puts the offset from the most stable computed form at 0.156 eV/atom.


Material: Pb2W
Method: DFT, GGA-PBE
State: relaxed

Lattice parameters (Å, degrees): 5.733 5.733 5.733 103.43 103.43 122.37
Sites, in units of the cell vectors:
1 Pb 0.156 0.656 0.812
2 Pb 0.344 0.156 0.500
3 Pb 0.656 0.844 0.500
4 Pb 0.844 0.344 0.188
5 W 0.250 0.250 0.000
6 W 0.750 0.750 0.000

Values from the calculation:
For the calculated formation energy, the calculation gives 0.65 eV/atom. The calculation puts the offset from the most stable computed form at 0.064 eV/atom.


Material: Li4CdSi2
Method: DFT, GGA-PBE
State: relaxed

Lattice parameters (Å, degrees): 3.344 3.344 10.401 99.06 99.06 89.41
Sites, in units of the cell vectors:
1 Li 0.081 0.081 0.161
2 Li 0.346 0.346 0.694
3 Li 0.654 0.654 0.306
4 Li 0.919 0.919 0.839
5 Cd 0.500 0.500 0.000
6 Si 0.223 0.223 0.447
7 Si 0.777 0.777 0.553

Values from the calculation:
The value obtained for the uncorrected formation energy is -0.12 eV per atom.


Material: ScHg2Br
Method: DFT, GGA-PBE
State: relaxed

Lattice parameters (Å, degrees): 6.431 6.431 6.431 142.64 142.64 53.87
Sites, in units of the cell vectors:
1 Sc 0.000 0.000 0.000
2 Hg 0.250 0.750 0.500
3 Hg 0.750 0.250 0.500
4 Br 0.500 0.500 0.000

Values from the calculation:
The value obtained for the uncorrected formation energy is -0.28 eV per atom. The calculation puts the offset from the most stable computed form at 0.247 eV/atom.


Material: KTcBr2
Method: DFT, GGA-PBE
State: relaxed

Lattice parameters (Å, degrees): 5.430 5.430 5.430 60.00 60.00 60.00
Sites, in units of the cell vectors:
1 K 0.000 0.000 0.000
2 Tc 0.250 0.250 0.250
3 Br 0.500 0.500 0.500
4 Br 0.750 0.750 0.750

Values from the calculation:
The value obtained for the uncorrected formation energy is 0.52 eV per atom. The calculation puts the offset from the most stable computed form at 0.716 eV/atom.


Material: Cs3PrCl6
Method: DFT, GGA-PBE
State: relaxed

Lattice parameters (Å, degrees): 8.564 8.564 8.564 60.00 60.00 60.00
Sites, in units of the cell vectors:
1 Cs 0.000 0.000 0.000
2 Cs 0.250 0.250 0.250
3 Cs 0.750 0.750 0.750
4 Pr 0.500 0.500 0.500
5 Cl 0.272 0.272 0.728
6 Cl 0.272 0.728 0.272
7 Cl 0.272 0.728 0.728
8 Cl 0.728 0.272 0.272
9 Cl 0.728 0.272 0.728
10 Cl 0.728 0.728 0.272

Values from the calculation:
The value obtained for the uncorrected formation energy is -2.10 eV per atom.


Summary of electronic total energy in eV/cell
-59.70; -61.49; -45.16; -12.77; -61.04; -120.88; -12.46; -36.86; -20.23; -9.74; -12.72; -39.43
(order as listed above)